First-principles (PBE) data for CoTe2Br after structural relaxation, as listed in the Alexandria database.

POSCAR file:
```
CoTe2Br
1.0
-6.0905 -4.4588 -2.1934
0.3730 -2.2127 -5.7030
5.3965 -2.9035 0.0829
Te Co Br
4 2 2
direct
0.0513 0.2617 0.9105
0.4487 0.4105 0.7617
0.9487 0.7383 0.0895
0.5513 0.5895 0.2383
0.7500 0.1920 0.6920
0.2500 0.8080 0.3080
0.7500 0.9417 0.4417
0.2500 0.0583 0.5583
```

Calculated values
Its formation energy (no corrections) is -32 meV/atom. As for the energy above the most stable polymorph in this dataset: 160 meV/atom. The volume is 216 Å³ per cell.

***

First-principles (PBE) data for CoTeBr2 after structural relaxation, as listed in the Alexandria database.

POSCAR file:
```
CoTeBr2
1.0
4.9452 -1.5827 9.6343
3.5909 -4.7348 9.1906
6.6380 -3.9439 7.7565
Te Co Br
1 1 2
direct
0.0000 0.0000 0.0000
0.5000 0.5000 0.5000
0.8770 0.8770 0.8770
0.1230 0.1230 0.1230
```

Calculated values
Its formation energy (no corrections) is 44 meV/atom. The volume is 112 Å³ per cell.

***

First-principles (PBE) data for CoTeBr2 after structural relaxation, as listed in the Alexandria database.

POSCAR file:
```
CoTeBr2
1.0
3.1615 0.0000 0.0000
0.0000 3.1615 0.0000
0.0000 0.0000 10.1973
Br Co Te
2 1 1
direct
0.0000 0.0000 0.9679
0.5000 0.5000 0.3503
0.0000 0.0000 0.5225
0.5000 0.5000 0.6594
```

Calculated values
Its formation energy (no corrections) is 234 meV/atom. The volume is 102 Å³ per cell.

***

First-principles (PBE) data for CoTe2Br after structural relaxation, as listed in the Alexandria database.

POSCAR file:
```
CoTe2Br
1.0
-2.2957 6.7499 6.3797
1.4057 6.3750 6.9939
0.1726 8.5922 4.2043
Te Co Br
2 1 1
direct
0.1294 0.1294 0.1294
0.5859 0.5859 0.5859
0.4997 0.4997 0.4997
0.0360 0.0360 0.0360
```

Calculated values
Its formation energy (no corrections) is 117 meV/atom. As for the energy above the most stable polymorph in this dataset: 310 meV/atom. The volume is 115 Å³ per cell.

***

First-principles (PBE) data for CoTe4Br after structural relaxation, as listed in the Alexandria database.

POSCAR file:
```
CoTe4Br
1.0
-6.3044 -1.3719 -2.2207
-2.1129 -2.7220 7.6800
0.0336 8.3745 -1.6356
Co Te Br
2 8 2
direct
0.3119 0.5017 0.0035
0.6881 0.4983 0.9965
0.2562 0.6799 0.3598
0.4633 0.1909 0.8054
0.0000 0.3256 0.0000
0.5367 0.3855 0.1946
0.7438 0.3201 0.6402
0.5367 0.8091 0.1946
0.0000 0.6744 0.0000
0.4633 0.6145 0.8054
0.1171 0.8748 0.7496
0.8829 0.1252 0.2504
```

Calculated values
Its formation energy (no corrections) is -12 meV/atom. As for the energy above the most stable polymorph in this dataset: 121 meV/atom. The volume is 421 Å³ per cell.

***

First-principles (PBE) data for CoTe2Br after structural relaxation, as listed in the Alexandria database.

POSCAR file:
```
CoTe2Br
1.0
7.7741 0.0000 1.1667
1.4198 1.9180 -3.0014
-1.4198 1.9180 3.0014
Te Co Br
2 1 1
direct
0.6684 0.7758 0.2242
0.3316 0.2242 0.7758
0.5000 0.5000 0.5000
0.0000 0.0000 0.0000
```

Calculated values
Its formation energy (no corrections) is -185 meV/atom. As for the energy above the most stable polymorph in this dataset: 7 meV/atom. The volume is 96 Å³ per cell.

***

First-principles (PBE) data for CoTeBr2 after structural relaxation, as listed in the Alexandria database.

POSCAR file:
```
CoTeBr2
1.0
3.1889 0.0000 0.0000
0.0000 3.1884 0.0000
0.0000 0.0000 11.8200
Br Co Te
2 1 1
direct
0.0000 0.0000 0.1146
0.0000 0.0000 0.3854
0.5000 0.5000 0.2500
0.5000 0.5000 0.7500
```

Calculated values
Its formation energy (no corrections) is 195 meV/atom. The volume is 120 Å³ per cell.

***

First-principles (PBE) data for CoTe2Br after structural relaxation, as listed in the Alexandria database.

POSCAR file:
```
CoTe2Br
1.0
-3.6731 1.4287 0.0236
1.5828 -1.7897 -9.1369
-2.4248 -6.2474 0.8037
Co Te Br
2 4 2
direct
0.8006 0.5913 0.7500
0.1994 0.4087 0.2500
0.3226 0.6313 0.5023
0.6774 0.3687 0.4977
0.3226 0.6313 0.9977
0.6774 0.3687 0.0023
0.0513 0.1374 0.2500
0.9487 0.8626 0.7500
```

Calculated values
Its formation energy (no corrections) is -151 meV/atom. As for the energy above the most stable polymorph in this dataset: 42 meV/atom. The volume is 244 Å³ per cell.

***

First-principles (PBE) data for CoTe2Br after structural relaxation, as listed in the Alexandria database.

POSCAR file:
```
CoTe2Br
1.0
-2.1728 1.6276 -6.9228
3.0240 -2.9230 -1.6364
-8.5599 -9.1549 0.5342
Te Co Br
8 4 4
direct
0.8827 0.2500 0.4390
0.6173 0.7500 0.9390
0.1173 0.7500 0.5610
0.3827 0.2500 0.0610
0.2252 0.2500 0.7838
0.2748 0.7500 0.2838
0.7748 0.7500 0.2162
0.7252 0.2500 0.7162
0.0185 0.2500 0.6346
0.4815 0.7500 0.1346
0.9815 0.7500 0.3654
0.5185 0.2500 0.8654
0.4456 0.2500 0.3975
0.0544 0.7500 0.8975
0.5544 0.7500 0.6025
0.9456 0.2500 0.1025
```

Calculated values
Its formation energy (no corrections) is 22 meV/atom. As for the energy above the most stable polymorph in this dataset: 214 meV/atom. The volume is 421 Å³ per cell.

***

First-principles (PBE) data for Co2TeBr after structural relaxation, as listed in the Alexandria database.

POSCAR file:
```
Co2TeBr
1.0
-2.3040 -1.6273 1.6596
1.9595 -0.1030 2.6193
-2.5688 5.8309 2.1510
Br Co Te
1 2 1
direct
0.5000 0.5000 0.7500
0.0000 0.0000 0.0488
0.0000 0.0000 0.4512
0.5000 0.5000 0.2500
```

Calculated values
Its formation energy (no corrections) is 548 meV/atom. As for the energy above the most stable polymorph in this dataset: 544 meV/atom. The volume is 72 Å³ per cell.

***

First-principles (PBE) data for CoTe2Br after structural relaxation, as listed in the Alexandria database.

POSCAR file:
```
CoTe2Br
1.0
-8.1266 0.1359 2.1063
-7.2139 -3.6848 2.2089
-6.3790 -1.3820 5.2816
Te Co Br
2 1 1
direct
0.8833 0.8833 0.8833
0.1167 0.1167 0.1167
0.5000 0.5000 0.5000
0.0000 0.0000 0.0000
```

Calculated values
Its formation energy (no corrections) is -192 meV/atom. As for the energy above the most stable polymorph in this dataset: 0 meV/atom. The volume is 108 Å³ per cell.

***

First-principles (PBE) data for CoTeBr2 after structural relaxation, as listed in the Alexandria database.

POSCAR file:
```
CoTeBr2
1.0
3.9992 -0.0641 0.0000
-2.2838 3.2836 0.0000
0.0000 0.0000 9.1491
Br Co Te
2 1 1
direct
0.0000 0.0000 0.9516
0.5000 0.5000 0.3406
0.0000 0.0000 0.5138
0.5000 0.5000 0.6939
```

Calculated values
Its formation energy (no corrections) is 112 meV/atom. The volume is 119 Å³ per cell.

***

First-principles (PBE) data for Co2TeBr after structural relaxation, as listed in the Alexandria database.

POSCAR file:
```
Co2TeBr
1.0
-0.3670 -1.8134 3.5409
-2.2922 -3.2272 0.5398
5.4017 -4.6949 -1.2534
Br Co Te
1 2 1
direct
0.1863 0.1863 0.1332
0.0986 0.0986 0.8096
0.7709 0.7709 0.9056
0.4442 0.4442 0.6516
```

Calculated values
Its formation energy (no corrections) is 4 meV/atom. As for the energy above the most stable polymorph in this dataset: 0 meV/atom. The volume is 97 Å³ per cell.

***

First-principles (PBE) data for CoTeBr2 after structural relaxation, as listed in the Alexandria database.

POSCAR file:
```
CoTeBr2
1.0
3.4858 -0.4913 -0.0209
2.2647 2.6951 -0.0209
0.9299 0.3564 11.6055
Br Co Te
2 1 1
direct
0.0607 0.0607 0.8826
0.4393 0.4393 0.6174
0.7500 0.7500 0.7500
0.2500 0.2500 0.2500
```

Calculated values
Its formation energy (no corrections) is 27 meV/atom. The volume is 122 Å³ per cell.

***

First-principles (PBE) data for CoTe2Br after structural relaxation, as listed in the Alexandria database.

POSCAR file:
```
CoTe2Br
1.0
4.4865 -1.1031 -1.9678
2.2405 -4.3478 1.1379
0.4004 -3.6032 -3.4748
Te Co Br
2 1 1
direct
0.2500 0.2500 0.2500
0.7500 0.7500 0.7500
0.0000 0.0000 0.0000
0.5000 0.5000 0.5000
```

Calculated values
Its formation energy (no corrections) is 629 meV/atom. As for the energy above the most stable polymorph in this dataset: 822 meV/atom. The volume is 90 Å³ per cell.

***

First-principles (PBE) data for CoTeBr2 after structural relaxation, as listed in the Alexandria database.

POSCAR file:
```
CoTeBr2
1.0
-0.3483 7.4230 1.3811
-5.9141 3.8958 2.6410
5.2434 -5.4126 0.5831
Br Co Te
2 1 1
direct
0.9335 0.9335 0.0000
0.6437 0.1437 0.5000
0.5237 0.5237 0.0000
0.3991 0.8991 0.5000
```

Calculated values
Its formation energy (no corrections) is -62 meV/atom. The volume is 139 Å³ per cell.

***

First-principles (PBE) data for CoTe2Br after structural relaxation, as listed in the Alexandria database.

POSCAR file:
```
CoTe2Br
1.0
17.3840 0.0000 2.2547
0.0000 5.1502 0.0000
-5.5962 0.0000 3.6367
Te Co Br
8 4 4
direct
0.9317 0.7622 0.7906
0.0683 0.2378 0.2094
0.5683 0.2622 0.7094
0.4317 0.7378 0.2906
0.0684 0.7624 0.5640
0.9316 0.2376 0.4360
0.4316 0.2624 0.9360
0.5684 0.7376 0.0640
0.5891 0.0000 0.4282
0.4109 0.0000 0.5718
0.9109 0.5000 0.0718
0.0891 0.5000 0.9282
0.2500 0.2499 0.0795
0.7500 0.7501 0.9205
0.2500 0.7499 0.4205
0.7500 0.2501 0.5795
```

Calculated values
Its formation energy (no corrections) is -174 meV/atom. As for the energy above the most stable polymorph in this dataset: 18 meV/atom. The volume is 391 Å³ per cell.

***

First-principles (PBE) data for CoTe2Br after structural relaxation, as listed in the Alexandria database.

POSCAR file:
```
CoTe2Br
1.0
-4.3079 -1.1982 -4.4678
4.4728 -5.0158 -1.5358
-2.5988 -3.3594 3.4065
Te Co Br
4 2 2
direct
0.5801 0.5625 0.6934
0.4579 0.8717 0.1935
0.1592 0.8548 0.5980
0.8788 0.5794 0.0979
0.2566 0.6300 0.9183
0.7814 0.8042 0.4183
0.7415 0.0847 0.6673
0.2964 0.3495 0.1671
```

Calculated values
Its formation energy (no corrections) is -137 meV/atom. As for the energy above the most stable polymorph in this dataset: 56 meV/atom. The volume is 235 Å³ per cell.

***

First-principles (PBE) data for Co2TeBr after structural relaxation, as listed in the Alexandria database.

POSCAR file:
```
Co2TeBr
1.0
3.7489 -0.0403 0.0495
1.9206 3.2199 0.0495
1.8329 1.0279 6.0584
Br Co Te
1 2 1
direct
0.2500 0.2500 0.2500
0.0133 0.0133 0.9553
0.4867 0.4867 0.5447
0.7500 0.7500 0.7500
```

Calculated values
Its formation energy (no corrections) is 341 meV/atom. As for the energy above the most stable polymorph in this dataset: 337 meV/atom. The volume is 73 Å³ per cell.